# GGA-PBE BaPm2Nd, optimized geometry
data_BaPm2Nd
_cell_length_a 3.7762
_cell_length_b 3.7762
_cell_length_c 11.0470
_cell_angle_alpha 90.00
_cell_angle_beta 90.00
_cell_angle_gamma 90.00
_space_group_name_H-M_alt 'P 1'
_space_group_IT_number 1
_space_group_name_Hall 'P 1'
loop_
_atom_site_label
_atom_site_type_symbol
_atom_site_fract_x
_atom_site_fract_y
_atom_site_fract_z
_atom_site_occupancy
Ba1 Ba 0.0000 0.0000 0.0000 1
Pm1 Pm 0.5000 0.5000 0.2791 1
Pm2 Pm 0.5000 0.5000 0.7209 1
Nd1 Nd 0.0000 0.0000 0.5000 1
# Formation enthalpy at 0 K ... 0.1173 eV/atom
# Energy ... -15.72 eV/f.u.
# Calculated volume ... 39.4 A^3/atom
# M_tot ... 0.00 μB per formula unit
# ΔE to the lowest computed polymorph ... 0 meV/atom